The following is a PBE calculation of an optimized crystal structure of K2TeI4Cl2, from the Alexandria database.

Summary:
- Space-group type: C2/m
- Crystal system: monoclinic
- Raw formation energy: -0.894 eV per atom
- Total moment: 0.0 μB/cell
- Density: 3529 kg/m³

a b c (Å): 8.208 8.043 8.043
angles (deg): 61.86 58.14 58.14
Fractional positions:
1 Te 0.500 0.000 0.000
2 Cl 0.186 0.230 0.230
3 Cl 0.814 0.770 0.770
4 I 0.707 0.789 0.295
5 I 0.707 0.295 0.789
6 I 0.293 0.705 0.211
7 I 0.293 0.211 0.705
8 K 0.219 0.754 0.754
9 K 0.781 0.246 0.246

The following is a PBE calculation of an optimized crystal structure of RbNbCd, from the Alexandria database.

Summary:
- DFT formation energy: 0.914 eV/atom
- E above lowest polymorph: 0.608 eV/atom
- Space-group type: P-6m2
- Crystal system: hexagonal
- Total moment: 0.0 μB/cell
- Density: 4321 kg/m³

a b c (Å): 5.610 5.610 8.200
angles (deg): 90.00 90.00 120.00
Fractional positions:
1 Rb 0.667 0.333 0.500
2 Rb 0.667 0.333 0.000
3 Cd 0.333 0.667 0.319
4 Cd 0.333 0.667 0.681
5 Nb 0.000 0.000 0.633
6 Nb 0.000 0.000 0.367

The following is a PBE calculation of an optimized crystal structure of Pm5Pr3Th2, from the Alexandria database.

Summary:
- DFT formation energy: 0.215 eV/atom
- Space-group type: C2/c
- Crystal system: monoclinic
- Total moment: 0.0 μB/cell
- Density: 7669 kg/m³

a b c (Å): 10.066 10.077 9.316
angles (deg): 109.51 109.46 112.52
Fractional positions:
1 Pm 0.873 0.625 0.747
2 Pm 0.472 0.222 0.444
3 Pm 0.528 0.778 0.556
4 Pm 0.626 0.878 0.253
5 Pm 0.013 0.263 0.527
6 Pm 0.776 0.526 0.053
7 Pm 0.127 0.375 0.253
8 Pm 0.374 0.122 0.747
9 Pm 0.224 0.474 0.947
10 Pm 0.987 0.737 0.473
11 Th 0.278 0.717 0.748
12 Th 0.722 0.283 0.252
13 Th 0.970 0.031 0.748
14 Th 0.030 0.969 0.252
15 Pr 0.525 0.479 0.251
16 Pr 0.262 0.012 0.024
17 Pr 0.775 0.228 0.749
18 Pr 0.738 0.988 0.976
19 Pr 0.225 0.772 0.251
20 Pr 0.475 0.521 0.749

The following is a PBE calculation of an optimized crystal structure of Cd9Ag2Sn, from the Alexandria database.

Summary:
- DFT formation energy: 0.039 eV/atom
- Space-group type: I4_1/amd
- Crystal system: tetragonal
- Total moment: 0.0 μB/cell
- Density: 8063 kg/m³

a b c (Å): 5.930 10.114 10.114
angles (deg): 85.07 72.95 72.95
Fractional positions:
1 Cd 0.379 0.463 0.788
2 Cd 0.120 0.963 0.288
3 Cd 0.000 0.000 0.000
4 Cd 0.371 0.037 0.712
5 Cd 0.592 0.037 0.288
6 Cd 0.917 0.712 0.963
7 Cd 0.833 0.537 0.788
8 Cd 0.371 0.712 0.037
9 Cd 0.158 0.463 0.212
10 Cd 0.630 0.212 0.537
11 Cd 0.750 0.500 0.500
12 Cd 0.917 0.963 0.712
13 Cd 0.379 0.788 0.463
14 Cd 0.592 0.288 0.037
15 Cd 0.630 0.537 0.212
16 Cd 0.120 0.288 0.963
17 Cd 0.158 0.212 0.463
18 Cd 0.833 0.788 0.537
19 Sn 0.250 0.500 0.500
20 Sn 0.500 0.000 0.000
21 Ag 0.875 0.250 0.250
22 Ag 0.875 0.250 0.750
23 Ag 0.875 0.750 0.250
24 Ag 0.375 0.750 0.750